Run 1
# ZnTe5 (PBE, optimized geometry)
# Size of the total moment, μB/cell: 0.000
data_ZnTe5
_cell_length_a 4.197
_cell_length_b 14.313
_cell_length_c 6.137
_cell_angle_alpha 90.00
_cell_angle_beta 90.00
_cell_angle_gamma 90.00
_symmetry_space_group_name_H-M 'C m m m'
_symmetry_Int_Tables_number 65
_symmetry_space_group_name_Hall '-C 2 2'
loop_
_atom_site_label
_atom_site_type_symbol
_atom_site_fract_x
_atom_site_fract_y
_atom_site_fract_z
Zn1 Zn 0.000 0.000 0.000
Te1 Te 0.000 0.000 0.500
Te2 Te 0.000 0.349 0.500
Te3 Te 0.000 0.362 0.000

Run 2
# ZnTe5 (PBE, optimized geometry)
# Size of the total moment, μB/cell: 0.000
data_ZnTe5
_cell_length_a 3.699
_cell_length_b 3.699
_cell_length_c 12.001
_cell_angle_alpha 90.00
_cell_angle_beta 90.00
_cell_angle_gamma 90.00
_symmetry_space_group_name_H-M 'P 4/m m m'
_symmetry_Int_Tables_number 123
_symmetry_space_group_name_Hall '-P 4 2'
loop_
_atom_site_label
_atom_site_type_symbol
_atom_site_fract_x
_atom_site_fract_y
_atom_site_fract_z
Zn1 Zn 0.000 0.000 0.000
Te1 Te 0.000 0.000 0.335
Te2 Te 0.500 0.500 0.125
Te3 Te 0.500 0.500 0.500

Run 3
# ZnTe5 (PBE, optimized geometry)
# Size of the total moment, μB/cell: 0.000
data_ZnTe5
_cell_length_a 8.982
_cell_length_b 8.982
_cell_length_c 8.982
_cell_angle_alpha 90.00
_cell_angle_beta 90.00
_cell_angle_gamma 90.00
_symmetry_space_group_name_H-M 'F -4 3 m'
_symmetry_Int_Tables_number 216
_symmetry_space_group_name_Hall 'F -4 2 3'
loop_
_atom_site_label
_atom_site_type_symbol
_atom_site_fract_x
_atom_site_fract_y
_atom_site_fract_z
Zn1 Zn 0.000 0.000 0.000
Te1 Te 0.123 0.123 0.377
Te2 Te 0.250 0.250 0.750

Which of them is least stable? Easy: run 3.

Run 1
# ZnTe5 (PBE, optimized geometry)
# Size of the total moment, μB/cell: 0.000
data_ZnTe5
_cell_length_a 7.0825
_cell_length_b 7.0825
_cell_length_c 4.0471
_cell_angle_alpha 90.00
_cell_angle_beta 90.00
_cell_angle_gamma 120.00
_symmetry_space_group_name_H-M 'P -6 2 m'
_symmetry_Int_Tables_number 189
_symmetry_space_group_name_Hall 'P -6 -2'
loop_
_atom_site_label
_atom_site_type_symbol
_atom_site_fract_x
_atom_site_fract_y
_atom_site_fract_z
Zn1 Zn 0.0000 0.0000 0.0000
Te1 Te 0.0000 0.7041 0.5000
Te2 Te 0.3333 0.6667 0.0000

Run 2
# ZnTe5 (PBE, optimized geometry)
# Size of the total moment, μB/cell: 0.000
data_ZnTe5
_cell_length_a 8.0418
_cell_length_b 8.0418
_cell_length_c 4.1032
_cell_angle_alpha 90.00
_cell_angle_beta 90.00
_cell_angle_gamma 120.00
_symmetry_space_group_name_H-M 'P 6/m m m'
_symmetry_Int_Tables_number 191
_symmetry_space_group_name_Hall '-P 6 2'
loop_
_atom_site_label
_atom_site_type_symbol
_atom_site_fract_x
_atom_site_fract_y
_atom_site_fract_z
Zn1 Zn 0.0000 0.0000 0.0000
Te1 Te 0.0000 0.5000 0.5000
Te2 Te 0.3333 0.6667 0.0000

Which of them is least stable? Easy: run 2.

Run 1
# Zr2ZnTe2 (PBE, optimized geometry)
# Size of the total moment, μB/cell: 0.000
data_Zr2ZnTe2
_cell_length_a 7.842
_cell_length_b 7.842
_cell_length_c 3.789
_cell_angle_alpha 90.00
_cell_angle_beta 90.00
_cell_angle_gamma 90.00
_symmetry_space_group_name_H-M 'P 4/m b m'
_symmetry_Int_Tables_number 127
_symmetry_space_group_name_Hall '-P 4 2ab'
loop_
_atom_site_label
_atom_site_type_symbol
_atom_site_fract_x
_atom_site_fract_y
_atom_site_fract_z
Zr1 Zr 0.147 0.353 0.000
Zn1 Zn 0.000 0.000 0.000
Te1 Te 0.149 0.649 0.500

Run 2
# Zr2ZnTe2 (PBE, optimized geometry)
# Size of the total moment, μB/cell: 0.000
data_Zr2ZnTe2
_cell_length_a 5.116
_cell_length_b 5.116
_cell_length_c 11.462
_cell_angle_alpha 90.00
_cell_angle_beta 90.00
_cell_angle_gamma 90.00
_symmetry_space_group_name_H-M 'I 4/m m m'
_symmetry_Int_Tables_number 139
_symmetry_space_group_name_Hall '-I 4 2'
loop_
_atom_site_label
_atom_site_type_symbol
_atom_site_fract_x
_atom_site_fract_y
_atom_site_fract_z
Zr1 Zr 0.000 0.000 0.128
Zn1 Zn 0.000 0.000 0.500
Te1 Te 0.000 0.500 0.250

Which of them is least stable? Easy: run 2.

Run 1
# Zr4Te (PBE, optimized geometry)
# Size of the total moment, μB/cell: 0.000
data_Zr4Te
_cell_length_a 6.105
_cell_length_b 6.105
_cell_length_c 13.088
_cell_angle_alpha 90.00
_cell_angle_beta 90.00
_cell_angle_gamma 90.00
_symmetry_space_group_name_H-M 'I 41/a'
_symmetry_Int_Tables_number 88
loop_
_symmetry_equiv_pos_as_xyz
'x,y,z'
'-x,-y,-z'
'-y+3/4,x+1/4,z+1/4'
'y+3/4,-x+1/4,-z+1/4'
'-x+1/2,-y,z+1/2'
'x+1/2,y,-z+1/2'
'y+3/4,-x+3/4,z+3/4'
'-y+3/4,x+3/4,-z+3/4'
'x+1/2,y+1/2,z+1/2'
'-x+1/2,-y+1/2,-z+1/2'
'-y+1/4,x+3/4,z+3/4'
'y+1/4,-x+3/4,-z+3/4'
'-x,-y+1/2,z'
'x,y+1/2,-z'
'y+1/4,-x+1/4,z+1/4'
'-y+1/4,x+1/4,-z+1/4'
loop_
_atom_site_label
_atom_site_type_symbol
_atom_site_fract_x
_atom_site_fract_y
_atom_site_fract_z
Zr1 Zr 0.141 0.030 0.201
Te1 Te 0.000 0.250 0.625

Run 2
# Zr4Te (PBE, optimized geometry)
# Size of the total moment, μB/cell: 0.000
data_Zr4Te
_cell_length_a 5.239
_cell_length_b 5.239
_cell_length_c 5.239
_cell_angle_alpha 90.00
_cell_angle_beta 90.00
_cell_angle_gamma 90.00
_symmetry_space_group_name_H-M 'P m -3 m'
_symmetry_Int_Tables_number 221
_symmetry_space_group_name_Hall '-P 4 2 3'
loop_
_atom_site_label
_atom_site_type_symbol
_atom_site_fract_x
_atom_site_fract_y
_atom_site_fract_z
Zr1 Zr 0.000 0.000 0.000
Zr2 Zr 0.000 0.500 0.500
Te1 Te 0.500 0.500 0.500

Run 3
# Zr4Te (PBE, optimized geometry)
# Size of the total moment, μB/cell: 0.000
data_Zr4Te
_cell_length_a 6.507
_cell_length_b 6.507
_cell_length_c 6.507
_cell_angle_alpha 90.00
_cell_angle_beta 90.00
_cell_angle_gamma 90.00
_symmetry_space_group_name_H-M 'I m -3 m'
_symmetry_Int_Tables_number 229
_symmetry_space_group_name_Hall '-I 4 2 3'
loop_
_atom_site_label
_atom_site_type_symbol
_atom_site_fract_x
_atom_site_fract_y
_atom_site_fract_z
Zr1 Zr 0.250 0.250 0.250
Te1 Te 0.000 0.000 0.000

Which of them is least stable? Easy: run 2.